The following is a DFT calculation (PBE-GGA) of Nd2BiAu after structural relaxation. Values from VASP.

The structure in Quantum ESPRESSO input format:
```
&SYSTEM
  ibrav = 0, nat = 4, ntyp = 3
/
ATOMIC_SPECIES
Nd 144.24 Nd.upf
Bi 208.98 Bi.upf
Au 196.97 Au.upf
CELL_PARAMETERS angstrom
5.2939 0.0000 0.0000
0.0000 5.2939 0.0000
0.0000 0.0000 4.0661
ATOMIC_POSITIONS crystal
Nd 0.0000 0.5000 0.0000
Nd 0.5000 0.0000 0.0000
Bi 0.0000 0.0000 0.5000
Au 0.5000 0.5000 0.5000
```

Results
energy of formation from the pure elements: -0.721 eV per atom
N(E_F): 4.78 states/eV/f.u.

***

The following is a DFT calculation (PBE-GGA) of Be2Zn5Pd12 after structural relaxation. Values from VASP.

The structure in Quantum ESPRESSO input format:
```
&SYSTEM
  ibrav = 0, nat = 19, ntyp = 3
/
ATOMIC_SPECIES
Be 9.01 Be.upf
Zn 65.41 Zn.upf
Pd 106.42 Pd.upf
CELL_PARAMETERS angstrom
7.0106 -2.8432 0.0000
7.0106 2.8432 0.0000
-1.0761 0.0000 6.9642
ATOMIC_POSITIONS crystal
Be 0.1871 0.8129 0.0000
Be 0.8129 0.1871 0.0000
Zn 0.2079 0.2079 0.2363
Zn 0.2715 0.2715 0.7582
Zn 0.5000 0.5000 0.5000
Zn 0.7285 0.7285 0.2418
Zn 0.7921 0.7921 0.7637
Pd 0.0029 0.0029 0.2930
Pd 0.0966 0.5987 0.4806
Pd 0.1049 0.5949 0.0774
Pd 0.4013 0.9034 0.5194
Pd 0.4051 0.8951 0.9226
Pd 0.4542 0.4542 0.8158
Pd 0.5458 0.5458 0.1842
Pd 0.5949 0.1049 0.0774
Pd 0.5987 0.0966 0.4806
Pd 0.8951 0.4051 0.9226
Pd 0.9034 0.4013 0.5194
Pd 0.9971 0.9971 0.7070
```

Results
energy of formation from the pure elements: -0.361 eV per atom
N(E_F): 5.89 states/eV/f.u.

***

The following is a DFT calculation (PBE-GGA) of Pm2USb3 after structural relaxation. Values from VASP.

The structure in Quantum ESPRESSO input format:
```
&SYSTEM
  ibrav = 0, nat = 6, ntyp = 3
/
ATOMIC_SPECIES
Pm 145.00 Pm.upf
U 238.03 U.upf
Sb 121.76 Sb.upf
CELL_PARAMETERS angstrom
-2.2400 2.2400 9.3701
2.2400 -2.2400 9.3701
2.2400 2.2400 -9.3701
ATOMIC_POSITIONS crystal
Pm 0.1678 0.1678 0.0000
Pm 0.8322 0.8322 0.0000
U 0.5000 0.5000 0.0000
Sb 0.0000 0.0000 0.0000
Sb 0.3358 0.3358 0.0000
Sb 0.6642 0.6642 0.0000
```

Results
N(E_F): 7.29 states/eV/f.u.
energy: -6.4020 eV per atom

***

The following is a DFT calculation (PBE-GGA) of Li2Ca2SmSb2 after structural relaxation. Values from VASP.

The structure in Quantum ESPRESSO input format:
```
&SYSTEM
  ibrav = 0, nat = 7, ntyp = 4
/
ATOMIC_SPECIES
Li 6.94 Li.upf
Ca 40.08 Ca.upf
Sm 150.36 Sm.upf
Sb 121.76 Sb.upf
CELL_PARAMETERS angstrom
2.3651 1.3655 9.3582
-2.3651 1.3655 9.3582
0.0000 -2.7310 9.3582
ATOMIC_POSITIONS crystal
Li 0.0922 0.0922 0.0922
Li 0.9078 0.9078 0.9078
Ca 0.3697 0.3697 0.3697
Ca 0.6303 0.6303 0.6303
Sm 0.5000 0.5000 0.5000
Sb 0.2345 0.2345 0.2345
Sb 0.7655 0.7655 0.7655
```

Results
N(E_F): 3.18 states/eV/f.u.
energy: -3.6366 eV per atom

***

The following is a DFT calculation (PBE-GGA) of GdEr2Ni after structural relaxation. Values from VASP.

The structure in Quantum ESPRESSO input format:
```
&SYSTEM
  ibrav = 0, nat = 4, ntyp = 3
/
ATOMIC_SPECIES
Gd 157.25 Gd.upf
Er 167.26 Er.upf
Ni 58.69 Ni.upf
CELL_PARAMETERS angstrom
3.4242 0.0000 0.0000
0.0000 3.4242 0.0000
0.0000 0.0000 8.6235
ATOMIC_POSITIONS crystal
Gd 0.0000 0.0000 0.0000
Er 0.5000 0.5000 0.3154
Er 0.5000 0.5000 0.6846
Ni 0.0000 0.0000 0.5000
```

Results
energy of formation from the pure elements: -0.192 eV per atom
N(E_F): 4.65 states/eV/f.u.
ΔE to the lowest computed polymorph: 0.000 kcal/mol of atoms

***

The following is a DFT calculation (PBE-GGA) of HoPaFe10 after structural relaxation. Values from VASP.

The structure in Quantum ESPRESSO input format:
```
&SYSTEM
  ibrav = 0, nat = 12, ntyp = 3
/
ATOMIC_SPECIES
Ho 164.93 Ho.upf
Pa 231.04 Pa.upf
Fe 55.84 Fe.upf
CELL_PARAMETERS angstrom
3.9984 0.0000 0.0000
0.0000 4.9644 0.0000
0.0000 0.0000 8.5670
ATOMIC_POSITIONS crystal
Ho 0.0000 0.0000 0.0000
Pa 0.0000 0.5000 0.5000
Fe 0.0000 0.0000 0.3364
Fe 0.0000 0.0000 0.6636
Fe 0.0000 0.5000 0.1698
Fe 0.0000 0.5000 0.8302
Fe 0.5000 0.0000 0.5000
Fe 0.5000 0.2495 0.2496
Fe 0.5000 0.2495 0.7504
Fe 0.5000 0.5000 0.0000
Fe 0.5000 0.7505 0.2496
Fe 0.5000 0.7505 0.7504
```

Results
energy of formation from the pure elements: -0.061 eV per atom
N(E_F): 12.53 states/eV/f.u.

***

The following is a DFT calculation (PBE-GGA) of LaPmAg2S4 after structural relaxation. Values from VASP.

The structure in Quantum ESPRESSO input format:
```
&SYSTEM
  ibrav = 0, nat = 8, ntyp = 4
/
ATOMIC_SPECIES
La 138.91 La.upf
Pm 145.00 Pm.upf
Ag 107.87 Ag.upf
S 32.06 S.upf
CELL_PARAMETERS angstrom
-3.4046 3.4423 4.1940
3.4046 -3.4423 4.1940
3.4046 3.4423 -4.1940
ATOMIC_POSITIONS crystal
La 0.0000 0.0000 0.0000
Pm 0.5000 0.5000 0.0000
Ag 0.3276 0.8276 0.5000
Ag 0.6724 0.1724 0.5000
S 0.0854 0.0993 0.5140
S 0.4148 0.9007 0.9861
S 0.5852 0.5713 0.4860
S 0.9146 0.4287 0.0139
```

Results
N(E_F): 0.06 states/eV/f.u.
energy: -5.1914 eV per atom

***

The following is a DFT calculation (PBE-GGA) of DySc2Ag after structural relaxation. Values from VASP.

The structure in Quantum ESPRESSO input format:
```
&SYSTEM
  ibrav = 0, nat = 16, ntyp = 3
/
ATOMIC_SPECIES
Dy 162.50 Dy.upf
Sc 44.96 Sc.upf
Ag 107.87 Ag.upf
CELL_PARAMETERS angstrom
6.2943 0.0000 0.0000
0.0000 10.0110 0.0000
0.0000 0.0000 6.1953
ATOMIC_POSITIONS crystal
Dy 0.0202 0.2500 0.0991
Dy 0.4798 0.7500 0.5991
Dy 0.5202 0.2500 0.4009
Dy 0.9798 0.7500 0.9009
Sc 0.1799 0.5306 0.3174
Sc 0.1799 0.9694 0.3174
Sc 0.3201 0.0306 0.8174
Sc 0.3201 0.4694 0.8174
Sc 0.6799 0.5306 0.1826
Sc 0.6799 0.9694 0.1826
Sc 0.8201 0.0306 0.6826
Sc 0.8201 0.4694 0.6826
Ag 0.0863 0.2500 0.5791
Ag 0.4137 0.7500 0.0791
Ag 0.5863 0.2500 0.9209
Ag 0.9137 0.7500 0.4209
```

Results
energy of formation from the pure elements: -0.105 eV per atom
N(E_F): 4.58 states/eV/f.u.
ΔE to the lowest computed polymorph: 0.000 kcal/mol of atoms